Entry 1:
4
Lattice="1.528 0.882 7.990 -1.528 0.882 7.990 0.000 -1.765 7.990" Properties=species:S:1:pos:R:3 comment="LiCoAs2 | the Alexandria database | PBE | relaxed" formation_enthalpy_0k_ev_per_atom=0.11 n_ef_per_ev_cell=2.06 volume_a3_per_cell=64.7 polymorph_energy_ev_per_atom=0.395 pbc="T T T"
Li 0.000 0.000 0.000
Co 0.000 0.000 5.878
As 0.000 0.000 12.438
As 0.000 0.000 18.047

Entry 2:
4
Lattice="2.701 0.000 0.000 0.000 3.780 0.000 0.000 0.000 6.266" Properties=species:S:1:pos:R:3 comment="LiCoAs2 | the Alexandria database | PBE | relaxed" formation_enthalpy_0k_ev_per_atom=-0.08 n_ef_per_ev_cell=2.73 volume_a3_per_cell=64.0 polymorph_energy_ev_per_atom=0.197 pbc="T T T"
Li 0.000 0.000 0.000
Co 1.351 1.890 4.710
As 0.000 0.000 3.789
As 1.351 1.890 0.841